Entry 1:
Here is a relaxed Mn2BeFe crystal from the Alexandria database. Energies are from GGA-PBE.

a b c (Å): 4.2534 4.2534 4.2534
angles (deg): 131.36 131.36 71.24
Last column: nearest neighbours and their distance in Å.
Fractional coordinates of all 4 atoms:
Fe 0.7500 0.2500 0.5000  8 Mn 2.46-2.48, 4 Be 2.46
Be 0.5000 0.5000 0.0000  8 Mn 2.46-2.48, 4 Fe 2.46
Mn 0.0000 0.0000 0.0000  4 Mn 2.46, 4 Fe 2.46, 4 Be 2.48
Mn 0.2500 0.7500 0.5000  4 Mn 2.46, 4 Be 2.46, 4 Fe 2.48

***

Entry 2:
Here is a relaxed Mn2BeFe crystal from the Alexandria database. Energies are from GGA-PBE.

a b c (Å): 4.5604 4.5000 2.3835
angles (deg): 79.42 80.17 116.45
Last column: nearest neighbours and their distance in Å.
Fractional coordinates of all 4 atoms:
Be 0.5000 0.5000 0.0000  2 Fe 2.34, 2 Be 2.38, 4 Mn 2.39
Mn 0.0000 0.5000 0.5000  4 Mn 2.34-2.38, 2 Fe 2.39, 2 Be 2.39
Mn 0.0000 0.0000 0.0000  4 Mn 2.34-2.38, 2 Be 2.39, 2 Fe 2.39
Fe 0.5000 0.0000 0.5000  2 Be 2.34, 2 Fe 2.38, 4 Mn 2.39

***

Entry 3:
Here is a relaxed MnBeFe2 crystal from the Alexandria database. Energies are from GGA-PBE.

a b c (Å): 4.1732 4.1732 4.1732
angles (deg): 130.49 130.49 72.62
Last column: nearest neighbours and their distance in Å.
Fractional coordinates of all 4 atoms:
Be 0.7500 0.2500 0.5000  4 Mn 2.43, 8 Fe 2.43-2.47
Mn 0.5000 0.5000 0.0000  8 Fe 2.43-2.47, 4 Be 2.43
Fe 0.2500 0.7500 0.5000  4 Mn 2.43, 4 Fe 2.43, 4 Be 2.47
Fe 0.0000 0.0000 0.0000  4 Fe 2.43, 4 Be 2.43, 4 Mn 2.47

***

Entry 4:
Here is a relaxed MnBe2Fe2 crystal from the Alexandria database. Energies are from GGA-PBE.

a b c (Å): 6.2724 6.2724 2.4441
angles (deg): 90.00 90.00 90.00
Last column: nearest neighbours and their distance in Å.
Fractional coordinates of all 10 atoms:
Mn 0.0000 0.0000 0.0000  2 Mn 2.44, 4 Fe 2.48, 8 Be 2.62
Mn 0.5000 0.5000 0.0000  2 Mn 2.44, 4 Fe 2.48, 8 Be 2.62
Be 0.3278 0.1722 0.5000  6 Fe 2.17-2.25
Be 0.6722 0.8278 0.5000  6 Fe 2.17-2.25
Be 0.1722 0.6722 0.5000  6 Fe 2.17-2.25
Be 0.8278 0.3278 0.5000  6 Fe 2.17-2.25
Fe 0.1255 0.3745 0.0000  6 Be 2.17-2.25, 1 Fe 2.23
Fe 0.3745 0.8745 0.0000  6 Be 2.17-2.25, 1 Fe 2.23
Fe 0.6255 0.1255 0.0000  6 Be 2.17-2.25, 1 Fe 2.23
Fe 0.8745 0.6255 0.0000  6 Be 2.17-2.25, 1 Fe 2.23

Values from the calculation:
Relative energy among the computed polymorphs ... 339 meV per atom

***

Entry 5:
Here is a relaxed Mn4BeFe crystal from the Alexandria database. Energies are from GGA-PBE.

a b c (Å): 4.5591 4.5591 4.5591
angles (deg): 60.00 60.00 60.00
Last column: nearest neighbours and their distance in Å.
Fractional coordinates of all 6 atoms:
Mn 0.3753 0.8741 0.3753  6 Mn 2.27-2.28
Mn 0.8741 0.3753 0.3753  6 Mn 2.27-2.28
Mn 0.3753 0.3753 0.8741  6 Mn 2.27-2.28
Mn 0.3753 0.3753 0.3753  6 Mn 2.27-2.28
Be 0.7500 0.7500 0.7500  12 Mn 2.67, 4 Fe 2.79
Fe 0.0000 0.0000 0.0000  12 Mn 2.67, 4 Be 2.79

***

Entry 6:
Here is a relaxed MnBeFe2 crystal from the Alexandria database. Energies are from GGA-PBE.

a b c (Å): 2.4572 2.4572 7.7129
angles (deg): 80.83 80.83 60.00
Last column: nearest neighbours and their distance in Å.
Fractional coordinates of all 4 atoms:
Mn 0.5001 0.5001 0.4996  6 Fe 2.38-2.40, 6 Mn 2.46
Be 0.6669 0.6669 0.9992  6 Fe 2.34-2.35, 6 Be 2.46
Fe 0.0820 0.0820 0.7541  3 Be 2.34, 3 Mn 2.40, 6 Fe 2.46
Fe 0.2510 0.2510 0.2471  3 Be 2.35, 3 Mn 2.38, 6 Fe 2.46

***

Entry 7:
Here is a relaxed Mn4Be2Fe crystal from the Alexandria database. Energies are from GGA-PBE.

a b c (Å): 4.6434 8.6798 3.8715
angles (deg): 77.12 89.99 68.56
Last column: nearest neighbours and their distance in Å.
Fractional coordinates of all 14 atoms:
Fe 0.8781 0.2846 0.3575  2 Be 2.28-2.37, 6 Mn 2.36-2.41
Fe 0.1219 0.7154 0.6425  2 Be 2.28-2.37, 6 Mn 2.36-2.41
Mn 0.9693 0.4279 0.7860  4 Mn 2.27-2.38, 2 Be 2.36-2.40, 2 Fe 2.40
Mn 0.1850 0.8587 0.0708  2 Be 2.27-2.37, 4 Mn 2.31-2.38, 2 Fe 2.36
Mn 0.7354 0.0000 0.5000  3 Mn 2.19-2.38, 3 Be 2.32-2.35, 1 Fe 2.40
Mn 0.2646 0.0000 0.5000  3 Mn 2.19-2.38, 3 Be 2.32-2.35, 1 Fe 2.40
Mn 0.0307 0.5721 0.2140  4 Mn 2.27-2.38, 2 Be 2.36-2.40, 2 Fe 2.40
Mn 0.5365 0.5808 0.2095  5 Mn 2.27-2.47, 2 Be 2.39, 1 Fe 2.41
Mn 0.8150 0.1413 0.9292  2 Be 2.27-2.37, 4 Mn 2.31-2.38, 2 Fe 2.36
Mn 0.4635 0.4192 0.7905  5 Mn 2.27-2.47, 2 Be 2.39, 1 Fe 2.41
Be 0.3255 0.1421 0.9291  5 Mn 2.27-2.37, 3 Be 2.30-2.34
Be 0.6268 0.7222 0.6388  2 Fe 2.28-2.37, 2 Be 2.30, 4 Mn 2.32-2.40
Be 0.6745 0.8579 0.0709  5 Mn 2.27-2.37, 3 Be 2.30-2.34
Be 0.3732 0.2778 0.3612  2 Fe 2.28-2.37, 2 Be 2.30, 4 Mn 2.32-2.40

***

Entry 8:
Here is a relaxed MnBe17Fe crystal from the Alexandria database. Energies are from GGA-PBE.

a b c (Å): 5.4259 5.4259 5.4259
angles (deg): 82.23 82.23 82.23
Last column: nearest neighbours and their distance in Å.
Fractional coordinates of all 19 atoms:
Be 0.8998 0.8998 0.8998  7 Be 2.14-2.28
Be 0.9975 0.9975 0.5019  10 Be 2.08-2.18
Be 0.1019 0.1019 0.1019  7 Be 2.14-2.23
Be 0.3085 0.0023 0.6892  8 Be 2.09-2.23
Be 0.6892 0.0023 0.3085  8 Be 2.09-2.23
Be 0.9975 0.5019 0.9975  10 Be 2.08-2.18
Be 0.3472 0.8429 0.3472  9 Be 2.03-2.23
Be 0.8429 0.3472 0.3472  9 Be 2.03-2.23
Be 0.6504 0.6504 0.1671  8 Be 2.03-2.20
Be 0.0023 0.3085 0.6892  8 Be 2.09-2.23
Be 0.1671 0.6504 0.6504  8 Be 2.03-2.20
Be 0.0023 0.6892 0.3085  8 Be 2.09-2.23
Be 0.3085 0.6892 0.0023  8 Be 2.09-2.23
Be 0.5019 0.9975 0.9975  10 Be 2.08-2.18
Be 0.6504 0.1671 0.6504  8 Be 2.03-2.20
Be 0.6892 0.3085 0.0023  8 Be 2.09-2.23
Be 0.3472 0.3472 0.8429  9 Be 2.03-2.23
Mn 0.6665 0.6665 0.6665  19 Be 2.47-2.74
Fe 0.3298 0.3298 0.3298  13 Be 2.41-2.62

***

Entry 9:
Here is a relaxed MnBeFe2 crystal from the Alexandria database. Energies are from GGA-PBE.

a b c (Å): 2.3931 2.3931 7.5353
angles (deg): 90.00 90.00 105.09
Last column: nearest neighbours and their distance in Å.
Fractional coordinates of all 4 atoms:
Fe 0.5000 0.5000 0.2500  6 Fe 2.39-2.48, 2 Mn 2.47
Fe 0.0000 0.0000 0.9834  2 Be 2.28, 6 Fe 2.39-2.48
Mn 0.0000 0.0000 0.5154  2 Be 2.30, 4 Mn 2.39, 2 Fe 2.47
Be 0.5000 0.5000 0.7510  2 Fe 2.28, 2 Mn 2.30, 4 Be 2.39

***

Entry 10:
Here is a relaxed Mn2BeFe crystal from the Alexandria database. Energies are from GGA-PBE.

a b c (Å): 4.4850 4.4850 4.4850
angles (deg): 144.34 131.06 62.01
Last column: nearest neighbours and their distance in Å.
Fractional coordinates of all 4 atoms:
Fe 0.2500 0.7500 0.5000  4 Be 2.31, 4 Mn 2.38
Mn 0.9969 0.9969 0.0000  4 Mn 2.31, 2 Be 2.34, 2 Fe 2.38
Mn 0.5031 0.5031 0.0000  4 Mn 2.31, 2 Be 2.34, 2 Fe 2.38
Be 0.7500 0.2500 0.5000  4 Fe 2.31, 4 Mn 2.34

***

Entry 11:
Here is a relaxed Mn2BeFe crystal from the Alexandria database. Energies are from GGA-PBE.

a b c (Å): 3.0494 3.5946 3.7404
angles (deg): 90.00 90.00 90.00
Last column: nearest neighbours and their distance in Å.
Fractional coordinates of all 4 atoms:
Mn 0.5000 0.5000 0.0000  4 Mn 2.36, 4 Fe 2.41, 4 Be 2.59
Mn 0.0000 0.0000 0.0000  4 Mn 2.36, 4 Be 2.41, 4 Fe 2.59
Be 0.5000 0.0000 0.5000  4 Fe 2.36, 8 Mn 2.41-2.59
Fe 0.0000 0.5000 0.5000  4 Be 2.36, 8 Mn 2.41-2.59

***

Entry 12:
Here is a relaxed Mn2BeFe crystal from the Alexandria database. Energies are from GGA-PBE.

a b c (Å): 6.1530 6.1530 4.9370
angles (deg): 51.45 51.45 90.00
Last column: nearest neighbours and their distance in Å.
Fractional coordinates of all 8 atoms:
Mn 0.3750 0.3693 0.7500  2 Fe 2.23, 2 Be 2.28, 2 Mn 2.33
Mn 0.1193 0.6250 0.2500  2 Fe 2.23, 2 Be 2.28, 2 Mn 2.33
Mn 0.6307 0.1250 0.2500  2 Fe 2.23, 2 Be 2.28, 2 Mn 2.33
Mn 0.8750 0.8807 0.7500  2 Fe 2.23, 2 Be 2.28, 2 Mn 2.33
Be 0.2500 0.7500 0.5000  4 Mn 2.28, 2 Fe 2.33
Be 0.5000 0.5000 0.0000  4 Mn 2.28, 2 Fe 2.33
Fe 0.7500 0.2500 0.5000  4 Mn 2.23, 2 Be 2.33
Fe 0.0000 0.0000 0.0000  4 Mn 2.23, 2 Be 2.33

***

Density of states at the Fermi level / states/eV/cell: 4.19, 4.56, 2.86, 9.80, 9.05, 4.01, 12.18, 5.18, 3.30, 3.72, 4.45, 9.46
Energy relative to the elements / eV per atom: -0.024, 0.051, 0.005, 0.234, 0.286, 0.033, -0.014, -0.076, 0.012, -0.050, 0.037, 0.572